1.
# BaYAlO4, optimized geometry, DFT GGA-PBE
data_BaYAlO4
_cell_length_a 5.672
_cell_length_b 5.807
_cell_length_c 7.212
_cell_angle_alpha 90.00
_cell_angle_beta 108.14
_cell_angle_gamma 90.00
_symmetry_space_group_name_H-M 'P 1 21/m 1'
_symmetry_Int_Tables_number 11
loop_
_symmetry_equiv_pos_as_xyz
'x,y,z'
'-x,-y,-z'
'-x,y+1/2,-z'
'x,-y+1/2,z'
loop_
_atom_site_label
_atom_site_type_symbol
_atom_site_fract_x
_atom_site_fract_y
_atom_site_fract_z
Ba1 Ba 0.208 0.250 0.429
Y1 Y 0.302 0.250 0.962
Al1 Al 0.245 0.750 0.168
O1 O 0.035 0.750 0.931
O2 O 0.054 0.750 0.322
O3 O 0.462 0.519 0.198
# - Raw formation energy: -3069 meV/atom

---

2.
# Ba5Y2ZrAl2O13, optimized geometry, DFT GGA-PBE
data_Ba5Y2ZrAl2O13
_cell_length_a 6.0431
_cell_length_b 6.0431
_cell_length_c 25.3054
_cell_angle_alpha 90.00
_cell_angle_beta 90.00
_cell_angle_gamma 120.00
_symmetry_space_group_name_H-M 'P 63/m m c'
_symmetry_Int_Tables_number 194
_symmetry_space_group_name_Hall '-P 6c 2c'
loop_
_atom_site_label
_atom_site_type_symbol
_atom_site_fract_x
_atom_site_fract_y
_atom_site_fract_z
Ba1 Ba 0.0000 0.0000 0.1369
Ba2 Ba 0.3333 0.6667 0.0408
Ba3 Ba 0.3333 0.6667 0.7500
Y1 Y 0.3333 0.6667 0.6043
Zr1 Zr 0.0000 0.0000 0.0000
Al1 Al 0.3333 0.6667 0.1813
O1 O 0.0116 0.5058 0.1586
O2 O 0.1624 0.3247 0.5501
O3 O 0.3333 0.6667 0.2500
# - Raw formation energy: -3072 meV/atom

---

3.
# Ba3ZrAl2O8, optimized geometry, DFT GGA-PBE
data_Ba3ZrAl2O8
_cell_length_a 5.8317
_cell_length_b 5.8317
_cell_length_c 7.5093
_cell_angle_alpha 90.00
_cell_angle_beta 90.00
_cell_angle_gamma 120.00
_symmetry_space_group_name_H-M 'P -3 m 1'
_symmetry_Int_Tables_number 164
_symmetry_space_group_name_Hall '-P 3 2"'
loop_
_atom_site_label
_atom_site_type_symbol
_atom_site_fract_x
_atom_site_fract_y
_atom_site_fract_z
Ba1 Ba 0.0000 0.0000 0.0000
Ba2 Ba 0.3333 0.6667 0.6791
Zr1 Zr 0.0000 0.0000 0.5000
Al1 Al 0.3333 0.6667 0.2336
O1 O 0.1697 0.3394 0.3316
O2 O 0.3333 0.6667 0.0050
# - Raw formation energy: -2989 meV/atom

---

4.
# Ba3ZrAl2O9, optimized geometry, DFT GGA-PBE
data_Ba3ZrAl2O9
_cell_length_a 5.7360
_cell_length_b 5.7360
_cell_length_c 7.0301
_cell_angle_alpha 90.00
_cell_angle_beta 90.00
_cell_angle_gamma 120.00
_symmetry_space_group_name_H-M 'P -3 m 1'
_symmetry_Int_Tables_number 164
_symmetry_space_group_name_Hall '-P 3 2"'
loop_
_atom_site_label
_atom_site_type_symbol
_atom_site_fract_x
_atom_site_fract_y
_atom_site_fract_z
Ba1 Ba 0.0000 0.0000 0.0000
Ba2 Ba 0.3333 0.6667 0.6735
Zr1 Zr 0.0000 0.0000 0.5000
Al1 Al 0.3333 0.6667 0.1662
O1 O 0.0000 0.5000 0.0000
O2 O 0.1737 0.3475 0.3229
# - Raw formation energy: -2723 meV/atom

---

5.
# BaAl2Os, optimized geometry, DFT GGA-PBE
data_BaAl2Os
_cell_length_a 5.246
_cell_length_b 3.040
_cell_length_c 5.558
_cell_angle_alpha 90.00
_cell_angle_beta 102.53
_cell_angle_gamma 90.00
_symmetry_space_group_name_H-M 'P 1 2/m 1'
_symmetry_Int_Tables_number 10
loop_
_symmetry_equiv_pos_as_xyz
'x,y,z'
'-x,-y,-z'
'-x,y,-z'
'x,-y,z'
loop_
_atom_site_label
_atom_site_type_symbol
_atom_site_fract_x
_atom_site_fract_y
_atom_site_fract_z
Ba1 Ba 0.000 0.000 0.000
Al1 Al 0.500 0.000 0.500
Al2 Al 0.500 0.500 0.000
Os1 Os 0.000 0.500 0.500
# - ΔH_f (0 K): 0.84 eV/atom

---

6.
# BaAl2Os, optimized geometry, DFT GGA-PBE
data_BaAl2Os
_cell_length_a 6.201
_cell_length_b 8.219
_cell_length_c 3.281
_cell_angle_alpha 90.00
_cell_angle_beta 100.38
_cell_angle_gamma 90.00
_symmetry_space_group_name_H-M 'C 1 2/m 1'
_symmetry_Int_Tables_number 12
loop_
_symmetry_equiv_pos_as_xyz
'x,y,z'
'-x,-y,-z'
'-x,y,-z'
'x,-y,z'
'x+1/2,y+1/2,z'
'-x+1/2,-y+1/2,-z'
'-x+1/2,y+1/2,-z'
'x+1/2,-y+1/2,z'
loop_
_atom_site_label
_atom_site_type_symbol
_atom_site_fract_x
_atom_site_fract_y
_atom_site_fract_z
Ba1 Ba 0.000 0.000 0.000
Al1 Al 0.250 0.250 0.500
Os1 Os 0.000 0.500 0.000
# - ΔH_f (0 K): 0.80 eV/atom